# 1
The following is a meta-GGA SCAN calculation of a PBEsol-optimized structure of LaAlSi2, from Alexandria.

Cell lengths 3.4771, 3.4771, 6.4235 Å; angles 90.00, 90.00, 90.00 degrees
With the nearest neighbours (Å) after each atom.
Space group P4/mmm (No. 123)
Unique sites:
1 La 0.0000 0.0000 0.0000 x1  8 Si 3.18, 2 Al 3.21, 4 La 3.48
2 Al 0.0000 0.0000 0.5000 x1  8 Si 2.73
3 Si 0.5000 0.5000 0.3150 x2  1 Si 2.38

## Properties
- electronic total energy (eV/atom) = -17.980
- magnetization (μB/f.u.) = 0.00

=====

# 2
The following is a meta-GGA SCAN calculation of a PBEsol-optimized structure of Os12W17, from Alexandria.

Cell lengths 9.5950, 9.5950, 9.5950 Å; angles 90.00, 90.00, 90.00 degrees
With the nearest neighbours (Å) after each atom.
Space group I-43m (No. 217)
Unique sites:
1 Os 0.0916 0.0916 0.7168 x24  3 Os 2.48-2.60, 3 W 2.56-2.67
2 W 0.0000 0.0000 0.0000 x2  4 W 2.90, 12 Os 2.99
3 W 0.0386 0.3551 0.6449 x24  3 Os 2.56-2.67, 1 W 2.78
4 W 0.1745 0.1745 0.1745 x8  4 W 2.78-2.90, 6 Os 2.87

## Properties
- electronic total energy (eV/atom) = -70.560
- magnetization (μB/f.u.) = 0.00

=====

# 3
The following is a meta-GGA SCAN calculation of a PBEsol-optimized structure of Ba2AsSe, from Alexandria.

Cell lengths 4.6610, 4.6610, 6.5859 Å; angles 90.00, 90.00, 90.00 degrees
With the nearest neighbours (Å) after each atom.
Space group P4/mmm (No. 123)
Unique sites:
1 Ba 0.0000 0.0000 0.0000 x1  2 As 3.29, 4 Se 3.30
2 Ba 0.5000 0.5000 0.5000 x1  2 Se 3.29, 4 As 3.30
3 As 0.0000 0.0000 0.5000 x1  6 Ba 3.29-3.30
4 Se 0.5000 0.5000 0.0000 x1  6 Ba 3.29-3.30

## Properties
- excess energy over the best structure of this formula in the dataset (meV/atom) = 0
- electronic total energy (eV/atom) = -31.414
- magnetization (μB/f.u.) = 0.92

=====

# 4
The following is a meta-GGA SCAN calculation of a PBEsol-optimized structure of KAgSe, from Alexandria.

Cell lengths 4.4498, 4.4498, 4.6956 Å; angles 90.00, 90.00, 120.00 degrees
With the nearest neighbours (Å) after each atom.
Space group P-6m2 (No. 187)
Unique sites:
1 K 0.0000 0.0000 0.0000 x1  6 Se 3.48, 6 Ag 3.48
2 Ag 0.6667 0.3333 0.5000 x1  3 Se 2.57
3 Se 0.3333 0.6667 0.5000 x1  3 Ag 2.57

## Properties
- electronic total energy (eV/atom) = -20.712
- magnetization (μB/f.u.) = 0.00

=====

# 5
The following is a meta-GGA SCAN calculation of a PBEsol-optimized structure of CaPRh, from Alexandria.

Cell lengths 6.7767, 4.0658, 7.2977 Å; angles 90.00, 90.00, 90.00 degrees
With the nearest neighbours (Å) after each atom.
Space group Pnma (No. 62)
Unique sites:
1 Ca 0.0111 0.2500 0.1805 x4  5 P 2.86-2.95, 4 Rh 2.93-3.07
2 P 0.2057 0.7500 0.3894 x4  4 Rh 2.38-2.60
3 Rh 0.1420 0.2500 0.5631 x4  4 P 2.38-2.60

## Properties
- electronic total energy (eV/atom) = -18.992
- magnetization (μB/f.u.) = 0.00

=====

# 6
The following is a meta-GGA SCAN calculation of a PBEsol-optimized structure of MgCuW2, from Alexandria.

Cell lengths 4.6956, 4.6956, 2.6870 Å; angles 90.00, 90.00, 90.00 degrees
With the nearest neighbours (Å) after each atom.
Space group P4/mmm (No. 123)
Unique sites:
1 Mg 0.0000 0.0000 0.0000 x1  2 Mg 2.69, 8 W 2.71
2 Cu 0.5000 0.5000 0.0000 x1  2 Cu 2.69, 8 W 2.71
3 W 0.0000 0.5000 0.5000 x2  2 W 2.69, 4 Cu 2.71, 4 Mg 2.71

## Properties
- electronic total energy (eV/atom) = -39.029
- magnetization (μB/f.u.) = 0.00

=====

# 7
The following is a meta-GGA SCAN calculation of a PBEsol-optimized structure of MgSiBiSe2, from Alexandria.

Cell lengths 4.8512, 4.8512, 5.5680 Å; angles 90.00, 90.00, 90.00 degrees
With the nearest neighbours (Å) after each atom.
Space group P4/mmm (No. 123)
Unique sites:
1 Mg 0.0000 0.0000 0.0000 x1  4 Se 2.43
2 Si 0.5000 0.5000 0.5000 x1  4 Bi 3.43, 8 Se 3.69
3 Bi 0.0000 0.0000 0.5000 x1  2 Mg 2.78
4 Se 0.0000 0.5000 0.0000 x2  2 Mg 2.43

## Properties
- electronic total energy (eV/atom) = -26.159
- magnetization (μB/f.u.) = 0.00

=====

# 8
The following is a meta-GGA SCAN calculation of a PBEsol-optimized structure of TaBe2Si, from Alexandria.

Cell lengths 3.4328, 3.4328, 8.0740 Å; angles 90.00, 90.00, 90.00 degrees
With the nearest neighbours (Å) after each atom.
Space group I-4m2 (No. 119)
Unique sites:
1 Ta 0.0000 0.0000 0.0000 x2  8 Be 2.43-2.65, 4 Si 2.65
2 Be 0.0000 0.0000 0.5000 x2  4 Ta 2.43, 4 Be 2.65, 4 Si 2.65
3 Be 0.0000 0.5000 0.2500 x2  4 Si 2.43, 4 Ta 2.65, 4 Be 2.65
4 Si 0.0000 0.5000 0.7500 x2  8 Be 2.43-2.65, 4 Ta 2.65

## Properties
- electronic total energy (eV/atom) = -21.487
- magnetization (μB/f.u.) = 0.00